# HfTiO4

A geometry-optimized HfTiO4 structure (PBE-GGA, Alexandria via LeMat-Bulk).

Structure (CIF):
```
data_HfTiO4
_chemical_formula_sum 'Hf2 Ti2 O8'
_cell_length_a 5.6816
_cell_length_b 5.6822
_cell_length_c 5.6822
_cell_angle_alpha 107.32
_cell_angle_beta 107.32
_cell_angle_gamma 113.87
_symmetry_space_group_name_H-M 'P 1'
_symmetry_Int_Tables_number 1
loop_
_symmetry_equiv_pos_as_xyz
'x,y,z'
loop_
_atom_site_label
_atom_site_fract_x
_atom_site_fract_y
_atom_site_fract_z
Hf1 0.7502 0.7502 0.0000
Hf2 0.5002 0.0002 0.5000
Ti1 0.2498 0.2498 0.0000
Ti2 0.9998 0.4998 0.5000
O1 0.2374 0.9331 0.6957
O2 0.7625 0.4552 0.6927
O3 0.6831 0.4874 0.1957
O4 0.2052 0.0125 0.1927
O5 0.2917 0.4874 0.8043
O6 0.8198 0.0125 0.8073
O7 0.7625 0.0698 0.3073
O8 0.2374 0.5417 0.3043
```

The final energy comes out at -9.53 eV/atom. The formation energy from raw total energies comes out at -3246 meV/atom.